# PBE LiTbZn2Ge2, optimized geometry
# - DFT formation energy (kJ/mol of atoms) = -46.7
# - DOS(E_F) (states/eV/atom) = 0.183
# - DFT total energy (eV/f.u.) = -21.23
data_LiTbZn2Ge2
_symmetry_space_group_name_H-M 'P -3 m 1'
_symmetry_Int_Tables_number 164
_symmetry_space_group_name_Hall '-P 3 2"'
_cell_length_a 4.2637
_cell_length_b 4.2637
_cell_length_c 6.8497
_cell_angle_alpha 90.00
_cell_angle_beta 90.00
_cell_angle_gamma 120.00
loop_
_atom_site_label
_atom_site_type_symbol
_atom_site_fract_x
_atom_site_fract_y
_atom_site_fract_z
Li1 Li 0.0000 0.0000 0.0000
Tb1 Tb 0.0000 0.0000 0.5000
Zn1 Zn 0.3333 0.6667 0.1739
Ge1 Ge 0.3333 0.6667 0.7530

# PBE LiTbZnGe, optimized geometry
# - DFT formation energy (kJ/mol of atoms) = -43.4
# - DOS(E_F) (states/eV/atom) = 0.256
# - DFT total energy (eV/f.u.) = -14.23
data_LiTbZnGe
_symmetry_space_group_name_H-M 'F -4 3 m'
_symmetry_Int_Tables_number 216
_symmetry_space_group_name_Hall 'F -4 2 3'
_cell_length_a 6.7961
_cell_length_b 6.7961
_cell_length_c 6.7961
_cell_angle_alpha 90.00
_cell_angle_beta 90.00
_cell_angle_gamma 90.00
loop_
_atom_site_label
_atom_site_type_symbol
_atom_site_fract_x
_atom_site_fract_y
_atom_site_fract_z
Li1 Li 0.0000 0.0000 0.0000
Tb1 Tb 0.0000 0.0000 0.5000
Zn1 Zn 0.2500 0.2500 0.7500
Ge1 Ge 0.2500 0.2500 0.2500

# PBE LiTc3Ge, optimized geometry
# - DFT formation energy (kJ/mol of atoms) = 129.7
# - DOS(E_F) (states/eV/atom) = 1.351
# - DFT total energy (eV/f.u.) = -30.91
data_LiTc3Ge
_symmetry_space_group_name_H-M 'P m -3 m'
_symmetry_Int_Tables_number 221
_symmetry_space_group_name_Hall '-P 4 2 3'
_cell_length_a 4.6163
_cell_length_b 4.6163
_cell_length_c 4.6163
_cell_angle_alpha 90.00
_cell_angle_beta 90.00
_cell_angle_gamma 90.00
loop_
_atom_site_label
_atom_site_type_symbol
_atom_site_fract_x
_atom_site_fract_y
_atom_site_fract_z
Li1 Li 0.0000 0.0000 0.0000
Tc1 Tc 0.0000 0.5000 0.5000
Ge1 Ge 0.5000 0.5000 0.5000

# PBE LiTc3Ge, optimized geometry
# - DFT formation energy (kJ/mol of atoms) = 112.6
# - DOS(E_F) (states/eV/atom) = 1.515
# - DFT total energy (eV/f.u.) = -31.79
data_LiTc3Ge
_symmetry_space_group_name_H-M 'P m -3 m'
_symmetry_Int_Tables_number 221
_symmetry_space_group_name_Hall '-P 4 2 3'
_cell_length_a 4.1387
_cell_length_b 4.1387
_cell_length_c 4.1387
_cell_angle_alpha 90.00
_cell_angle_beta 90.00
_cell_angle_gamma 90.00
loop_
_atom_site_label
_atom_site_type_symbol
_atom_site_fract_x
_atom_site_fract_y
_atom_site_fract_z
Li1 Li 0.0000 0.0000 0.0000
Tc1 Tc 0.0000 0.0000 0.5000
Ge1 Ge 0.5000 0.5000 0.5000